(1)
{
  "formula": "VBN2O",
  "functional": "GGA+U",
  "state": "optimized geometry",
  "dos_ef_per_ev_cell": 1.94,
  "mass_density_g_cm3": 4.71,
  "space_group": "No. 123",
  "energy_ry_per_atom": -0.4854,
  "lattice": [[3.250, 0.000, 0.000], [0.000, 3.250, 0.000], [0.000, 0.000, 3.529]],
  "species": ["V", "B", "N", "N", "O"],
  "frac_coords": [[0.000, 0.000, 0.000], [0.500, 0.500, 0.500], [0.000, 0.500, 0.500], [0.500, 0.000, 0.500], [0.500, 0.500, 0.000]]
}

---

(2)
{
  "formula": "VBN2O",
  "functional": "GGA+U",
  "state": "optimized geometry",
  "dos_ef_per_ev_cell": 2.73,
  "mass_density_g_cm3": 3.21,
  "space_group": "No. 123",
  "energy_ry_per_atom": -0.4359,
  "lattice": [[3.858, 0.000, 0.000], [0.000, 3.858, 0.000], [0.000, 0.000, 3.671]],
  "species": ["V", "B", "N", "N", "O"],
  "frac_coords": [[0.000, 0.000, 0.000], [0.500, 0.500, 0.500], [0.000, 0.500, 0.000], [0.500, 0.000, 0.000], [0.000, 0.000, 0.500]]
}

---

(3)
{
  "formula": "VBNO2",
  "functional": "GGA+U",
  "state": "optimized geometry",
  "dos_ef_per_ev_cell": 1.91,
  "mass_density_g_cm3": 3.32,
  "space_group": "No. 123",
  "energy_ry_per_atom": -0.4442,
  "lattice": [[3.669, 0.000, 0.000], [0.000, 3.669, 0.000], [0.000, 0.000, 4.006]],
  "species": ["V", "B", "N", "O", "O"],
  "frac_coords": [[0.000, 0.000, 0.000], [0.500, 0.500, 0.500], [0.000, 0.000, 0.500], [0.000, 0.500, 0.000], [0.500, 0.000, 0.000]]
}

---

(4)
{
  "formula": "BWN2O",
  "functional": "GGA+U",
  "state": "optimized geometry",
  "dos_ef_per_ev_cell": 0.67,
  "mass_density_g_cm3": 9.87,
  "space_group": "No. 123",
  "energy_ry_per_atom": -0.4854,
  "lattice": [[3.427, 0.000, 0.000], [0.000, 3.427, 0.000], [0.000, 0.000, 3.418]],
  "species": ["B", "W", "N", "N", "O"],
  "frac_coords": [[0.000, 0.000, 0.000], [0.500, 0.500, 0.500], [0.000, 0.500, 0.000], [0.500, 0.000, 0.000], [0.000, 0.000, 0.500]]
}

---

(5)
{
  "formula": "BWN2O",
  "functional": "GGA+U",
  "state": "optimized geometry",
  "dos_ef_per_ev_cell": 3.37,
  "mass_density_g_cm3": 6.39,
  "space_group": "No. 123",
  "energy_ry_per_atom": -0.4579,
  "lattice": [[3.996, 0.000, 0.000], [0.000, 3.996, 0.000], [0.000, 0.000, 3.886]],
  "species": ["B", "W", "N", "N", "O"],
  "frac_coords": [[0.000, 0.000, 0.000], [0.500, 0.500, 0.500], [0.000, 0.500, 0.500], [0.500, 0.000, 0.500], [0.500, 0.500, 0.000]]
}